Version P
Compound: ZnOs3I
Source: Alexandria via LeMat-Bulk
Functional: PBE-GGA
Structure: relaxed

Computed properties:
Spin magnetization (μB/f.u.): 0.0
DOS(E_F) (states/eV per cell): 5.6

a b c (Å): 4.5767 4.5767 4.5767
angles (deg): 90.00 90.00 90.00
Space group Pm-3m (No. 221)
Asymmetric unit:
1 Zn 0.0000 0.0000 0.0000 (multiplicity 1)
2 Os 0.0000 0.0000 0.5000 (multiplicity 3)
3 I 0.5000 0.5000 0.5000 (multiplicity 1)



Version Q
Compound: ZnOs3I
Source: Alexandria via LeMat-Bulk
Functional: PBE-GGA
Structure: relaxed

Computed properties:
Spin magnetization (μB/f.u.): 0.0
DOS(E_F) (states/eV per cell): 6.0

a b c (Å): 4.7967 4.7967 4.7967
angles (deg): 90.00 90.00 90.00
Space group Pm-3m (No. 221)
Asymmetric unit:
1 Zn 0.0000 0.0000 0.0000 (multiplicity 1)
2 Os 0.0000 0.5000 0.5000 (multiplicity 3)
3 I 0.5000 0.5000 0.5000 (multiplicity 1)



Energies relative to the most stable structure are version P 0.0; version Q 38.4, reported in kJ/mol of atoms.



Version P
Compound: ZrOs2I
Source: Alexandria via LeMat-Bulk
Functional: PBE-GGA
Structure: relaxed

Computed properties:
Spin magnetization (μB/f.u.): 0.0
DOS(E_F) (states/eV per cell): 9.6

a b c (Å): 5.7226 5.7226 12.7782
angles (deg): 90.00 90.00 90.00
Space group I-42d (No. 122)
Asymmetric unit:
1 Zr 0.0000 0.0000 0.0000 (multiplicity 4)
2 Os 0.2376 0.2500 0.6250 (multiplicity 8)
3 I 0.0000 0.0000 0.5000 (multiplicity 4)



Version Q
Compound: ZrOs2I
Source: Alexandria via LeMat-Bulk
Functional: PBE-GGA
Structure: relaxed

Computed properties:
Spin magnetization (μB/f.u.): 1.0
DOS(E_F) (states/eV per cell): 18.1

a b c (Å): 6.6694 6.6694 6.6694
angles (deg): 90.00 90.00 90.00
Space group Fm-3m (No. 225)
Asymmetric unit:
1 Zr 0.0000 0.0000 0.0000 (multiplicity 4)
2 Os 0.2500 0.2500 0.2500 (multiplicity 8)
3 I 0.0000 0.0000 0.5000 (multiplicity 4)



Energies relative to the most stable structure are version P 42.6; version Q 0.0, reported in kJ/mol of atoms.



Version P
Compound: PI
Source: Alexandria via LeMat-Bulk
Functional: PBE-GGA
Structure: relaxed

Computed properties:
Spin magnetization (μB/f.u.): 0.0
DOS(E_F) (states/eV per cell): 1.9

a b c (Å): 5.6469 5.6469 3.5555
angles (deg): 90.00 90.20 90.00
Space group C2/m (No. 12)
Asymmetric unit:
1 P 0.0000 0.0000 0.0000 (multiplicity 2)
2 I 0.0000 0.5000 0.0000 (multiplicity 2)



Version Q
Compound: PI
Source: Alexandria via LeMat-Bulk
Functional: PBE-GGA
Structure: relaxed

Computed properties:
Spin magnetization (μB/f.u.): 0.0
DOS(E_F) (states/eV per cell): 0.4

a b c (Å): 3.7901 3.8166 4.8121
angles (deg): 88.50 68.82 89.75
Space group P1 (No. 1)
Asymmetric unit:
1 P 0.0000 0.0000 0.0000 (multiplicity 1)
2 I 0.6215 0.4753 0.8228 (multiplicity 1)



Version R
Compound: PI
Source: Alexandria via LeMat-Bulk
Functional: PBE-GGA
Structure: relaxed

Computed properties:
Spin magnetization (μB/f.u.): 0.0
DOS(E_F) (states/eV per cell): 0.0

a b c (Å): 8.5959 8.8222 9.2179
angles (deg): 90.00 90.00 90.00
Space group Pmn2_1 (No. 31)
Asymmetric unit:
1 P 0.0000 0.1494 0.0000 (multiplicity 2)
2 P 0.1324 0.2201 0.1956 (multiplicity 4)
3 I 0.0000 0.8743 0.0634 (multiplicity 2)
4 I 0.2265 0.4723 0.1223 (multiplicity 4)



Energies relative to the most stable structure are version P 71.5; version Q 75.0; version R 0.0, reported in kJ/mol of atoms.



Version P
Compound: PI
Source: Alexandria via LeMat-Bulk
Functional: PBE-GGA
Structure: relaxed

Computed properties:
Spin magnetization (μB/f.u.): 0.0
DOS(E_F) (states/eV per cell): 10.9

a b c (Å): 8.7867 8.7867 8.7867
angles (deg): 90.00 90.00 90.00
Space group I-43m (No. 217)
Asymmetric unit:
1 P 0.0923 0.0923 0.0923 (multiplicity 8)
2 I 0.2304 0.2304 0.7696 (multiplicity 8)



Version Q
Compound: PI
Source: Alexandria via LeMat-Bulk
Functional: PBE-GGA
Structure: relaxed

Computed properties:
Spin magnetization (μB/f.u.): 0.0
DOS(E_F) (states/eV per cell): 3.5

a b c (Å): 13.6546 13.6546 3.6870
angles (deg): 90.00 90.00 90.00
Space group I4/m (No. 87)
Asymmetric unit:
1 P 0.1999 0.7707 0.0000 (multiplicity 8)
2 I 0.0515 0.2358 0.0000 (multiplicity 8)



Version R
Compound: PI
Source: Alexandria via LeMat-Bulk
Functional: PBE-GGA
Structure: relaxed

Computed properties:
Spin magnetization (μB/f.u.): 0.0
DOS(E_F) (states/eV per cell): 6.9

a b c (Å): 5.5656 11.1540 23.8763
angles (deg): 90.00 90.00 90.00
Space group Fddd (No. 70, origin choice 2)
Asymmetric unit:
1 P 0.1250 0.0353 0.1250 (multiplicity 16)
2 I 0.1250 0.1250 0.3105 (multiplicity 16)



Energies relative to the most stable structure are version P 22.6; version Q 0.0; version R 34.3, reported in kJ/mol of atoms.



Version P
Compound: PI
Source: Alexandria via LeMat-Bulk
Functional: PBE-GGA
Structure: relaxed

Computed properties:
Spin magnetization (μB/f.u.): 0.0
DOS(E_F) (states/eV per cell): 0.5

a b c (Å): 6.2222 3.6887 6.4425
angles (deg): 90.00 90.20 90.00
Space group P2_1/m (No. 11)
Asymmetric unit:
1 P 0.1108 0.2500 0.0468 (multiplicity 2)
2 I 0.3154 0.2500 0.7181 (multiplicity 2)



Version Q
Compound: PI
Source: Alexandria via LeMat-Bulk
Functional: PBE-GGA
Structure: relaxed

Computed properties:
Spin magnetization (μB/f.u.): 0.0
DOS(E_F) (states/eV per cell): 1.0

a b c (Å): 4.5797 4.5797 10.0400
angles (deg): 90.00 90.00 120.00
Space group P6_3mc (No. 186)
Asymmetric unit:
1 P 0.3333 0.6667 0.0000 (multiplicity 2)
2 I 0.3333 0.6667 0.4331 (multiplicity 2)



Version R
Compound: PI
Source: Alexandria via LeMat-Bulk
Functional: PBE-GGA
Structure: relaxed

Computed properties:
Spin magnetization (μB/f.u.): 0.0
DOS(E_F) (states/eV per cell): 9.7

a b c (Å): 6.6754 6.6754 6.6754
angles (deg): 90.00 90.00 90.00
Space group F-43m (No. 216)
Asymmetric unit:
1 P 0.0000 0.0000 0.0000 (multiplicity 4)
2 I 0.2500 0.2500 0.7500 (multiplicity 4)



Version S
Compound: PI
Source: Alexandria via LeMat-Bulk
Functional: PBE-GGA
Structure: relaxed

Computed properties:
Spin magnetization (μB/f.u.): 0.0
DOS(E_F) (states/eV per cell): 1.5

a b c (Å): 6.2727 3.6339 5.8748
angles (deg): 90.00 110.93 90.00
Space group Cm (No. 8)
Asymmetric unit:
1 P 0.0000 0.0000 0.0000 (multiplicity 2)
2 I 0.1426 0.0000 0.4274 (multiplicity 2)



Energies relative to the most stable structure are version P 0.0; version Q 82.5; version R 99.3; version S 61.2, reported in kJ/mol of atoms.



Version P
Compound: PI
Source: Alexandria via LeMat-Bulk
Functional: PBE-GGA
Structure: relaxed

Computed properties:
Spin magnetization (μB/f.u.): 0.0
DOS(E_F) (states/eV per cell): 0.0

a b c (Å): 6.9805 9.5449 11.0464
angles (deg): 90.00 90.00 90.00
Space group P2_12_12_1 (No. 19)
Asymmetric unit:
1 P 0.0717 0.0672 0.2780 (multiplicity 4)
2 P 0.1260 0.4401 0.1403 (multiplicity 4)
3 I 0.0502 0.3906 0.9294 (multiplicity 4)
4 I 0.1658 0.8672 0.9128 (multiplicity 4)



Version Q
Compound: PI
Source: Alexandria via LeMat-Bulk
Functional: PBE-GGA
Structure: relaxed

Computed properties:
Spin magnetization (μB/f.u.): 0.0
DOS(E_F) (states/eV per cell): 3.1

a b c (Å): 13.7812 13.7812 3.6725
angles (deg): 90.00 90.00 90.00
Space group P4/m (No. 83)
Asymmetric unit:
1 P 0.1939 0.2754 0.0000 (multiplicity 4)
2 P 0.2357 0.7050 0.5000 (multiplicity 4)
3 I 0.0610 0.7441 0.5000 (multiplicity 4)
4 I 0.2322 0.4503 0.0000 (multiplicity 4)



Energies relative to the most stable structure are version P 6.8; version Q 0.0, reported in kJ/mol of atoms.